First-principles (GGA-PBE) data for a geometry-optimized Pm5Tl2Hg2 structure, as listed in the Alexandria database.

Values from the calculation:
* ρ: 9.2 g cm⁻³
* total magnetization: 0.00 μB per cell
* DOS at the Fermi energy: 0.84 states/eV per atom
* ΔE to the lowest computed polymorph: 0.000 eV per atom
* formation energy from the elements: -357 meV per atom

Unit cell a=16.6082 b=8.4518 c=7.8596 alpha=90.00 beta=90.00 gamma=90.00
Closest atoms and distances in Å follow each position.
Space group Cmce (No. 64)
Asymmetric unit:
Pm  0.0000  0.0000  0.0000 (multiplicity 4)  4 Tl 3.18-3.24, 2 Hg 3.46
Pm  0.1428  0.1863  0.3348 (multiplicity 16)  3 Hg 3.15-3.25, 2 Tl 3.27-3.31
Tl  0.0000  0.1345  0.6223 (multiplicity 8)  1 Tl 2.98, 6 Pm 3.18-3.31
Hg  0.2083  0.0000  0.0000 (multiplicity 8)  7 Pm 3.15-3.46